--- i ---
Computed, not measured: a relaxed structure of TlSiMo at the GGA-PBEsol level of DFT.

Output
Total moment in μB/atom: 0.00
Fermi-level density of states in states/eV per atom: 0.945

Lattice parameters (Å, degrees): 4.2816 4.2816 4.2816 60.00 60.00 60.00
With the nearest neighbours (Å) after each atom.
Sites, in units of the cell vectors:
Tl 0.0000 0.0000 0.0000  4 Si 2.62
Si 0.2500 0.2500 0.2500  4 Mo 2.62, 4 Tl 2.62
Mo 0.5000 0.5000 0.5000  4 Si 2.62



--- ii ---
Computed, not measured: a relaxed structure of TlSiMo at the GGA-PBEsol level of DFT.

Output
Total moment in μB/atom: 0.00
Fermi-level density of states in states/eV per atom: 1.244

Lattice parameters (Å, degrees): 3.0970 3.0970 6.5469 90.00 90.00 120.00
With the nearest neighbours (Å) after each atom.
Sites, in units of the cell vectors:
Tl 0.0000 0.0000 0.0000  3 Mo 2.97, 3 Si 3.05, 6 Tl 3.10
Si 0.6667 0.3333 0.3782  3 Mo 2.47
Mo 0.3333 0.6667 0.6379  3 Si 2.47



ii takes first place; second place is 326 meV/atom up.



--- i ---
Computed, not measured: a relaxed structure of Si2MoW at the GGA-PBEsol level of DFT.

Output
Total moment in μB/atom: 0.00
Fermi-level density of states in states/eV per atom: 0.669

Lattice parameters (Å, degrees): 4.4864 4.4864 5.1629 103.20 103.20 34.69
With the nearest neighbours (Å) after each atom.
Sites, in units of the cell vectors:
Si 0.2504 0.2504 0.2501  3 Mo 2.59-2.76, 3 W 2.59-2.75, 2 Si 2.67
Si 0.7496 0.7496 0.7499  3 Mo 2.59-2.76, 3 W 2.59-2.75, 2 Si 2.67
Mo 0.0000 0.0000 0.5000  6 Si 2.59-2.76, 2 Mo 2.67
W 0.5000 0.5000 0.0000  6 Si 2.59-2.75, 2 W 2.67



--- ii ---
Computed, not measured: a relaxed structure of Si2MoW at the GGA-PBEsol level of DFT.

Output
Total moment in μB/atom: 0.00
Fermi-level density of states in states/eV per atom: 0.694

Lattice parameters (Å, degrees): 8.2666 8.2666 8.2666 20.18 20.18 20.18
With the nearest neighbours (Å) after each atom.
Sites, in units of the cell vectors:
Si 0.0000 0.0000 0.0000  3 W 2.58, 3 Si 2.65
Si 0.2486 0.2486 0.2486  3 Mo 2.56, 3 Si 2.65
Mo 0.5024 0.5024 0.5024  3 Si 2.56, 3 W 2.72
W 0.7476 0.7476 0.7476  3 Si 2.58, 3 Mo 2.72



i takes first place; second place is 22 meV/atom up.



--- i ---
Computed, not measured: a relaxed structure of Si2MoW at the GGA-PBEsol level of DFT.

Output
Total moment in μB/atom: 0.00
Fermi-level density of states in states/eV per atom: 0.662

Lattice parameters (Å, degrees): 4.7648 4.7648 4.7648 133.53 133.53 67.82
With the nearest neighbours (Å) after each atom.
Sites, in units of the cell vectors:
Si 0.0000 0.0000 0.0000  4 W 2.66, 4 Mo 2.73, 4 Si 2.73
Si 0.7500 0.2500 0.5000  4 Mo 2.66, 4 W 2.73, 4 Si 2.73
Mo 0.2500 0.7500 0.5000  8 Si 2.66-2.73, 4 W 2.73
W 0.5000 0.5000 0.0000  8 Si 2.66-2.73, 4 Mo 2.73



--- ii ---
Computed, not measured: a relaxed structure of Si2MoW at the GGA-PBEsol level of DFT.

Output
Total moment in μB/atom: 0.00
Fermi-level density of states in states/eV per atom: 0.518

Lattice parameters (Å, degrees): 2.6988 2.6988 8.3569 90.00 90.00 106.68
With the nearest neighbours (Å) after each atom.
Sites, in units of the cell vectors:
Si 0.0000 0.0000 0.0000  2 W 2.58, 6 Si 2.68-2.70
Si 0.5000 0.5000 0.2562  2 Mo 2.56, 6 Si 2.68-2.70
Mo 0.0000 0.0000 0.4948  2 Si 2.56, 4 Mo 2.70, 2 W 2.73
W 0.5000 0.5000 0.7592  2 Si 2.58, 4 W 2.70, 2 Mo 2.73



--- iii ---
Computed, not measured: a relaxed structure of Si2MoW at the GGA-PBEsol level of DFT.

Output
Total moment in μB/atom: 0.00
Fermi-level density of states in states/eV per atom: 0.269

Lattice parameters (Å, degrees): 3.1577 3.1577 5.5424 90.00 90.00 90.00
With the nearest neighbours (Å) after each atom.
Sites, in units of the cell vectors:
Si 0.0000 0.0000 0.0000  4 Mo 2.56, 4 Si 2.63, 1 W 2.65
Si 0.5000 0.5000 0.2505  4 W 2.56, 4 Si 2.63, 1 Mo 2.63
Mo 0.5000 0.5000 0.7757  5 Si 2.56-2.63, 4 W 2.78
W 0.0000 0.0000 0.4781  5 Si 2.56-2.65, 4 Mo 2.78



iii takes first place; second place is 390 meV/atom up.



--- i ---
Computed, not measured: a relaxed structure of YSi2Mo at the GGA-PBEsol level of DFT.

Output
Total moment in μB/atom: 0.00
Fermi-level density of states in states/eV per atom: 0.893

Lattice parameters (Å, degrees): 5.2191 5.2191 5.2191 136.02 136.02 63.96
With the nearest neighbours (Å) after each atom.
Sites, in units of the cell vectors:
Y 0.0000 0.0000 0.0000  8 Si 2.76-2.95, 4 Mo 2.95
Si 0.2500 0.7500 0.5000  4 Mo 2.76, 4 Si 2.95, 4 Y 2.95
Si 0.5000 0.5000 0.0000  4 Y 2.76, 4 Mo 2.95, 4 Si 2.95
Mo 0.7500 0.2500 0.5000  8 Si 2.76-2.95, 4 Y 2.95



--- ii ---
Computed, not measured: a relaxed structure of YSi2Mo at the GGA-PBEsol level of DFT.

Output
Total moment in μB/atom: 0.00
Fermi-level density of states in states/eV per atom: 0.685

Lattice parameters (Å, degrees): 4.5339 4.5339 4.5339 60.00 60.00 60.00
With the nearest neighbours (Å) after each atom.
Sites, in units of the cell vectors:
Y 0.0000 0.0000 0.0000  4 Mo 2.78, 4 Si 2.78
Si 0.5000 0.5000 0.5000  4 Mo 2.78, 4 Si 2.78
Si 0.7500 0.7500 0.7500  4 Si 2.78, 4 Y 2.78
Mo 0.2500 0.2500 0.2500  4 Si 2.78, 4 Y 2.78



--- iii ---
Computed, not measured: a relaxed structure of YSi2Mo at the GGA-PBEsol level of DFT.

Output
Total moment in μB/atom: 0.00
Fermi-level density of states in states/eV per atom: 0.707

Lattice parameters (Å, degrees): 3.2051 3.2051 6.5572 90.00 90.00 90.00
With the nearest neighbours (Å) after each atom.
Sites, in units of the cell vectors:
Y 0.0000 0.0000 0.0000  8 Si 3.03, 4 Y 3.21, 2 Mo 3.28
Si 0.5000 0.5000 0.3077  1 Si 2.52, 4 Mo 2.59
Si 0.5000 0.5000 0.6923  1 Si 2.52, 4 Mo 2.59
Mo 0.0000 0.0000 0.5000  8 Si 2.59



iii takes first place; second place is 393 meV/atom up.